Record 1
Entry from Alexandria: CeEr4As5 after structural relaxation (GGA-PBE).

a b c (Å): 9.180 9.180 5.812
angles (deg): 90.00 90.00 90.00
Space group I4/m (No. 87)
Unique sites:
Ce  0.000  0.000  0.000 (multiplicity 2)
Er  0.101  0.699  0.500 (multiplicity 8)
As  0.000  0.000  0.500 (multiplicity 2)
As  0.100  0.698  0.000 (multiplicity 8)

Calculated formation energy in eV/atom: -1.499
M_tot in μB/f.u.: 0.45
N(E_F) in states/eV/atom: 0.613

***

Record 2
Entry from Alexandria: Ce5ErAs6 after structural relaxation (GGA-PBE).

a b c (Å): 7.268 12.589 7.269
angles (deg): 90.00 109.48 90.00
Space group C2/m (No. 12)
Unique sites:
Ce  0.000  0.000  0.000 (multiplicity 2)
Ce  0.000  0.166  0.500 (multiplicity 4)
Ce  0.000  0.332  0.000 (multiplicity 4)
Er  0.000  0.500  0.500 (multiplicity 2)
As  0.247  0.335  0.747 (multiplicity 8)
As  0.247  0.500  0.252 (multiplicity 4)

Calculated formation energy in eV/atom: -1.435
M_tot in μB/f.u.: 3.58
N(E_F) in states/eV/atom: 2.078

***

Record 3
Entry from Alexandria: CeEr2As3 after structural relaxation (GGA-PBE).

a b c (Å): 4.129 5.840 12.360
angles (deg): 90.00 90.00 90.00
Space group Immm (No. 71)
Unique sites:
Ce  0.000  0.000  0.000 (multiplicity 2)
Er  0.000  0.000  0.334 (multiplicity 4)
As  0.000  0.500  0.000 (multiplicity 2)
As  0.000  0.500  0.330 (multiplicity 4)

Calculated formation energy in eV/atom: -1.483
M_tot in μB/f.u.: 0.61
N(E_F) in states/eV/atom: 0.983

***

Record 4
Entry from Alexandria: Ce4ErAs6 after structural relaxation (GGA-PBE).

a b c (Å): 11.4746 11.4746 14.4630
angles (deg): 90.00 90.00 120.00
Space group R-3c (No. 167, hexagonal axes)
Unique sites:
Ce  0.0000  0.0000  0.2500 (multiplicity 6)
Ce  0.0000  0.3821  0.2500 (multiplicity 18)
Er  0.0000  0.0000  0.0000 (multiplicity 6)
As  0.0296  0.2089  0.3869 (multiplicity 36)

Calculated formation energy in eV/atom: -1.220
M_tot in μB/f.u.: 1.34
N(E_F) in states/eV/atom: 1.213

***

Record 5
Entry from Alexandria: CeEr2As after structural relaxation (GGA-PBE).

a b c (Å): 3.7984 3.7984 28.2329
angles (deg): 90.00 90.00 120.00
Space group R-3m (No. 166, hexagonal axes)
Unique sites:
Ce  0.0000  0.0000  0.0000 (multiplicity 3)
Er  0.0000  0.0000  0.2282 (multiplicity 6)
As  0.0000  0.0000  0.5000 (multiplicity 3)

Calculated formation energy in eV/atom: -0.522
M_tot in μB/f.u.: 1.63
N(E_F) in states/eV/atom: 1.925

***

Record 6
Entry from Alexandria: Ce5Er3As8 after structural relaxation (GGA-PBE).

a b c (Å): 8.3371 8.3371 20.3941
angles (deg): 90.00 90.00 120.00
Space group R-3m (No. 166, hexagonal axes)
Unique sites:
Ce  0.0000  0.0000  0.0000 (multiplicity 3)
Ce  0.0000  0.0000  0.5000 (multiplicity 3)
Ce  0.0000  0.5000  0.0000 (multiplicity 9)
Er  0.0000  0.5000  0.5000 (multiplicity 9)
As  0.0000  0.0000  0.2478 (multiplicity 6)
As  0.0033  0.5017  0.7517 (multiplicity 18)

Calculated formation energy in eV/atom: -1.455
M_tot in μB/f.u.: 3.38
N(E_F) in states/eV/atom: 1.721

***

Record 7
Entry from Alexandria: CeEr2As after structural relaxation (GGA-PBE).

a b c (Å): 3.682 3.682 7.455
angles (deg): 90.00 90.00 90.00
Space group P4/mmm (No. 123)
Unique sites:
Ce  0.000  0.000  0.000 (multiplicity 1)
Er  0.500  0.500  0.292 (multiplicity 2)
As  0.000  0.000  0.500 (multiplicity 1)

Calculated formation energy in eV/atom: -0.521
M_tot in μB/f.u.: 0.31
N(E_F) in states/eV/atom: 1.244

***

Record 8
Entry from Alexandria: Ce3ErAs4 after structural relaxation (GGA-PBE).

a b c (Å): 5.917 5.917 5.917
angles (deg): 90.00 90.00 90.00
Space group Pm-3m (No. 221)
Unique sites:
Ce  0.000  0.000  0.500 (multiplicity 3)
Er  0.500  0.500  0.500 (multiplicity 1)
As  0.000  0.000  0.000 (multiplicity 1)
As  0.000  0.500  0.500 (multiplicity 3)

Calculated formation energy in eV/atom: -1.436
M_tot in μB/f.u.: 2.06
N(E_F) in states/eV/atom: 1.990

***

Record 9
Entry from Alexandria: CeHo2ErAs4 after structural relaxation (GGA-PBE).

a b c (Å): 7.136 4.125 7.139
angles (deg): 90.00 109.42 90.00
Space group P2/m (No. 10)
Unique sites:
Ce  0.000  0.000  0.000 (multiplicity 1)
Ho  0.000  0.500  0.500 (multiplicity 1)
Ho  0.500  0.000  0.500 (multiplicity 1)
Er  0.500  0.500  0.000 (multiplicity 1)
As  0.252  0.000  0.750 (multiplicity 2)
As  0.254  0.500  0.253 (multiplicity 2)

Calculated formation energy in eV/atom: -1.499
M_tot in μB/f.u.: 0.54
N(E_F) in states/eV/atom: 0.763

***

Record 10
Entry from Alexandria: Ce3Ho2ErAs6 after structural relaxation (GGA-PBE).

a b c (Å): 7.203 12.476 7.186
angles (deg): 90.00 109.53 90.00
Space group C2/m (No. 12)
Unique sites:
Ce  0.000  0.000  0.000 (multiplicity 2)
Ce  0.000  0.333  0.000 (multiplicity 4)
Ho  0.000  0.167  0.500 (multiplicity 4)
Er  0.000  0.500  0.500 (multiplicity 2)
As  0.248  0.334  0.744 (multiplicity 8)
As  0.249  0.000  0.744 (multiplicity 4)

Calculated formation energy in eV/atom: -1.475
M_tot in μB/f.u.: 1.94
N(E_F) in states/eV/atom: 1.358

***

Record 11
Entry from Alexandria: Ce2ErAs3Ir4 after structural relaxation (GGA-PBE).

a b c (Å): 4.109 4.109 11.500
angles (deg): 90.00 90.00 90.00
Space group P-4m2 (No. 115)
Unique sites:
Ce  0.000  0.500  0.229 (multiplicity 2)
Er  0.000  0.000  0.500 (multiplicity 1)
As  0.000  0.500  0.873 (multiplicity 2)
As  0.500  0.500  0.500 (multiplicity 1)
Ir  0.000  0.000  0.000 (multiplicity 1)
Ir  0.000  0.500  0.662 (multiplicity 2)
Ir  0.500  0.500  0.000 (multiplicity 1)

Calculated formation energy in eV/atom: -0.801
M_tot in μB/f.u.: 0.88
N(E_F) in states/eV/atom: 1.025

***

Record 12
Entry from Alexandria: LaCe2ErAs4 after structural relaxation (GGA-PBE).

a b c (Å): 7.314 4.227 7.322
angles (deg): 90.00 109.45 90.00
Space group P2/m (No. 10)
Unique sites:
La  0.000  0.000  0.000 (multiplicity 1)
Ce  0.500  0.000  0.500 (multiplicity 1)
Ce  0.500  0.500  0.000 (multiplicity 1)
Er  0.000  0.500  0.500 (multiplicity 1)
As  0.249  0.000  0.741 (multiplicity 2)
As  0.255  0.500  0.260 (multiplicity 2)

Calculated formation energy in eV/atom: -1.471
M_tot in μB/f.u.: 1.30
N(E_F) in states/eV/atom: 1.402